First-principles (PBE) data for Zn2InRe after structural relaxation, as listed in the Alexandria database.

Values from the calculation:
Crystal system ... tetragonal
ΔH_f (0 K) ... 0.418 eV per atom
Total moment ... 0.00 μB per formula unit
Density of states at the Fermi level ... 0.589 states/eV/atom

a = 3.3973 Å, b = 3.3973 Å, c = 5.7431 Å
α = 90.00°, β = 90.00°, γ = 90.00°
Closest atoms and distances in Å follow each position.
Space group P4mm (No. 99)
Unique sites:
Zn (0.0000, 0.0000, 0.0000)  4 Re 2.73, 4 Zn 2.75, 2 In 2.78-2.96
Zn (0.5000, 0.5000, 0.2347)  1 Re 2.64, 4 Zn 2.75, 4 In 2.89
In (0.0000, 0.0000, 0.5157)  6 Zn 2.78-2.96, 4 Re 2.83
Re (0.5000, 0.5000, 0.7747)  5 Zn 2.64-2.73, 4 In 2.83